{
  "formula": "BaBeBr2",
  "functional": "PBE-GGA",
  "state": "relaxed",
  "lattice": [[4.411, 0.017, 0.000], [-0.018, 4.411, 0.000], [0.000, 0.000, 6.344]],
  "species": ["Be", "Ba", "Br", "Br"],
  "fractional_positions": [[0.500, 0.500, 0.851], [0.000, 0.000, 0.473], [0.000, 0.000, 0.953], [0.500, 0.500, 0.223]],
  "rho_g_cm3": 4.1,
  "polymorph_energy_mev_per_atom": 182.2,
  "formation_energy_uncorrected_ev_per_atom": -0.690,
  "spacegroup": "P4mm"
}

***

{
  "formula": "LiTlFeCu2",
  "functional": "PBE-GGA",
  "state": "relaxed",
  "lattice": [[-0.825, 2.279, -3.896], [1.730, -3.551, -2.444], [-4.177, -1.885, -0.218]],
  "species": ["Tl", "Fe", "Cu", "Cu", "Li"],
  "fractional_positions": [[0.500, 0.500, 0.500], [0.000, 0.000, 0.000], [0.000, 0.000, 0.500], [0.500, 0.000, 0.000], [0.000, 0.500, 0.000]],
  "rho_g_cm3": 6.7,
  "spacegroup": "P4/mmm",
  "formation_energy_kj_per_mol_fu": 346,
  "n_ef_per_ev_cell": 3.7
}

***

{
  "formula": "NaCaCdSi",
  "functional": "PBE-GGA",
  "state": "relaxed",
  "lattice": [[-1.675, -0.128, -4.849], [-0.792, -4.507, -2.323], [-4.783, -1.555, -1.022]],
  "species": ["Na", "Ca", "Si", "Cd"],
  "fractional_positions": [[0.500, 0.500, 0.500], [0.000, 0.000, 0.000], [0.750, 0.750, 0.750], [0.250, 0.250, 0.250]],
  "rho_g_cm3": 3.5,
  "formation_energy_uncorrected_ev_per_atom": -0.089,
  "spacegroup": "F-43m",
  "n_ef_per_ev_cell": 2.5
}

***

{
  "formula": "Tm2GaAu8",
  "functional": "PBE-GGA",
  "state": "relaxed",
  "lattice": [[-0.157, 3.556, 3.460], [-5.884, 1.982, -2.305], [0.012, -6.931, 3.563]],
  "species": ["Tm", "Tm", "Ga", "Au", "Au", "Au", "Au", "Au", "Au", "Au", "Au"],
  "fractional_positions": [[0.799, 0.298, 0.598], [0.201, 0.702, 0.402], [0.500, 0.000, 0.000], [0.372, 0.586, 0.745], [0.627, 0.839, 0.253], [0.825, 0.825, 0.650], [0.000, 0.274, 0.001], [0.175, 0.175, 0.350], [0.373, 0.161, 0.747], [0.628, 0.414, 0.255], [0.000, 0.726, 0.999]],
  "rho_g_cm3": 15.2,
  "spacegroup": "C2/m",
  "formation_energy_kj_per_mol_fu": -551,
  "n_ef_per_ev_cell": 4.9
}

***

{
  "formula": "Rb3BaSe2O6",
  "functional": "PBE-GGA",
  "state": "relaxed",
  "lattice": [[6.359, 0.000, 0.000], [-3.179, 5.507, 0.000], [0.000, 0.000, 7.648]],
  "species": ["Rb", "Rb", "Rb", "Ba", "Se", "Se", "O", "O", "O", "O", "O", "O"],
  "fractional_positions": [[0.333, 0.667, 0.673], [0.667, 0.333, 0.327], [0.000, 0.000, 0.000], [0.000, 0.000, 0.500], [0.667, 0.333, 0.814], [0.333, 0.667, 0.186], [0.616, 0.808, 0.294], [0.192, 0.384, 0.294], [0.192, 0.808, 0.294], [0.808, 0.616, 0.706], [0.384, 0.192, 0.706], [0.808, 0.192, 0.706]],
  "rho_g_cm3": 4.0,
  "formation_energy_uncorrected_ev_per_atom": -1.455,
  "spacegroup": "P-3m1",
  "n_ef_per_ev_cell": 4.8
}

***

{
  "formula": "SiSe2O",
  "functional": "PBE-GGA",
  "state": "relaxed",
  "lattice": [[5.212, 5.733, 3.981], [6.934, 4.972, 1.758], [4.923, 7.049, 1.398]],
  "species": ["Si", "O", "Se", "Se"],
  "fractional_positions": [[0.000, 0.000, 0.000], [0.500, 0.500, 0.500], [0.901, 0.901, 0.901], [0.099, 0.099, 0.099]],
  "rho_g_cm3": 5.3,
  "polymorph_energy_mev_per_atom": 544.9,
  "formation_energy_uncorrected_ev_per_atom": 0.560,
  "spacegroup": "R-3m",
  "n_ef_per_ev_cell": 2.2
}

***

{
  "formula": "CaBeRe2",
  "functional": "PBE-GGA",
  "state": "relaxed",
  "lattice": [[4.469, 0.000, 0.000], [0.000, 4.469, 0.000], [2.234, 2.234, 8.532]],
  "species": ["Re", "Re", "Re", "Re", "Ca", "Ca", "Be", "Be"],
  "fractional_positions": [[0.296, 0.125, 0.250], [0.454, 0.625, 0.250], [0.375, 0.704, 0.750], [0.875, 0.546, 0.750], [0.000, 0.000, 0.000], [0.750, 0.250, 0.500], [0.500, 0.500, 0.000], [0.250, 0.750, 0.500]],
  "rho_g_cm3": 8.2,
  "spacegroup": "I-42d",
  "formation_energy_kj_per_mol_fu": 391,
  "n_ef_per_ev_cell": 9.8
}

***

{
  "formula": "LaZrCo2H",
  "functional": "PBE-GGA",
  "state": "relaxed",
  "lattice": [[4.807, 0.000, 0.000], [0.000, 3.832, 0.000], [0.000, 0.000, 4.807]],
  "species": ["H", "Co", "Co", "Zr", "La"],
  "fractional_positions": [[0.000, 0.500, 0.000], [0.000, 0.000, 0.500], [0.500, 0.000, 0.000], [0.500, 0.500, 0.500], [0.000, 0.000, 0.000]],
  "rho_g_cm3": 6.5,
  "spacegroup": "P4/mmm",
  "e_tot_ev_per_atom": -5.450,
  "n_ef_per_ev_cell": 6.6
}